Arrangement w

## SrLaBe2 (PBE)

Data for a relaxed structure of SrLaBe2.

Cell lengths 10.0194, 4.0528, 7.2933 Å; angles 90.00, 128.31, 90.00 degrees
Space group C2/m (No. 12)
One atom of each set of equivalent atoms:
Sr 0.0000 0.0000 0.0000 [2 per cell]
La 0.0000 0.5000 0.5000 [2 per cell]
Be 0.2407 0.0000 0.5481 [4 per cell]

Values from the calculation:
The total magnetization is 0.00 μB/atom. The value obtained for the density of states at the Fermi level is 0.99 states/eV per atom.

---

Arrangement x

## SrLaBe2 (PBE)

Data for a relaxed structure of SrLaBe2.

Cell lengths 3.2571, 3.2571, 8.8846 Å; angles 90.00, 90.00, 90.00 degrees
Space group P4mm (No. 99)
One atom of each set of equivalent atoms:
Sr 0.0000 0.0000 0.0000 [1 per cell]
La 0.5000 0.5000 0.5951 [1 per cell]
Be 0.0000 0.0000 0.3522 [1 per cell]
Be 0.5000 0.5000 0.2586 [1 per cell]

Values from the calculation:
The total magnetization is 0.00 μB/atom. The value obtained for the density of states at the Fermi level is 0.85 states/eV per atom.

---

Which structure loses on stability? arrangement x does.

---

Arrangement w

## SrLaBe2 (PBE)

Data for a relaxed structure of SrLaBe2.

Cell lengths 4.3919, 4.3919, 9.9630 Å; angles 90.00, 90.00, 90.00 degrees
Space group I-4m2 (No. 119)
One atom of each set of equivalent atoms:
Sr 0.0000 0.0000 0.0000 [2 per cell]
La 0.0000 0.5000 0.2500 [2 per cell]
Be 0.0000 0.0000 0.5000 [2 per cell]
Be 0.0000 0.5000 0.7500 [2 per cell]

Values from the calculation:
The total magnetization is 0.11 μB/atom. The value obtained for the density of states at the Fermi level is 1.22 states/eV per atom.

---

Arrangement x

## SrLaBe2 (PBE)

Data for a relaxed structure of SrLaBe2.

Cell lengths 4.0559, 3.7308, 14.3530 Å; angles 90.00, 90.00, 90.00 degrees
Space group Amm2 (No. 38)
One atom of each set of equivalent atoms:
Sr 0.0000 0.0000 0.0000 [2 per cell]
La 0.5000 0.0000 0.2717 [2 per cell]
Be 0.0000 0.0000 0.6744 [2 per cell]
Be 0.5000 0.0000 0.6196 [2 per cell]

Values from the calculation:
The total magnetization is 0.00 μB/atom. The value obtained for the density of states at the Fermi level is 0.91 states/eV per atom.

---

Arrangement y

## SrLaBe2 (PBE)

Data for a relaxed structure of SrLaBe2.

Cell lengths 7.1049, 7.1049, 7.1049 Å; angles 90.00, 90.00, 90.00 degrees
Space group F-43m (No. 216)
One atom of each set of equivalent atoms:
Sr 0.0000 0.0000 0.0000 [4 per cell]
La 0.2500 0.2500 0.7500 [4 per cell]
Be 0.0000 0.0000 0.5000 [4 per cell]
Be 0.2500 0.2500 0.2500 [4 per cell]

Values from the calculation:
The total magnetization is 0.00 μB/atom. The value obtained for the density of states at the Fermi level is 0.83 states/eV per atom.

---

Which structure loses on stability? arrangement y does.

---

Arrangement w

## SrLaBe2 (PBE)

Data for a relaxed structure of SrLaBe2.

Cell lengths 3.7261, 3.7261, 7.2331 Å; angles 90.00, 90.00, 90.00 degrees
Space group P4/mmm (No. 123)
One atom of each set of equivalent atoms:
Sr 0.0000 0.0000 0.0000 [1 per cell]
La 0.0000 0.0000 0.5000 [1 per cell]
Be 0.5000 0.5000 0.2924 [2 per cell]

Values from the calculation:
The total magnetization is 0.01 μB/atom. The value obtained for the density of states at the Fermi level is 0.90 states/eV per atom.

---

Arrangement x

## SrLaBe2 (PBE)

Data for a relaxed structure of SrLaBe2.

Cell lengths 4.0171, 4.0171, 24.9784 Å; angles 90.00, 90.00, 120.00 degrees
Space group R-3m (No. 166, hexagonal axes)
One atom of each set of equivalent atoms:
Sr 0.0000 0.0000 0.0000 [3 per cell]
La 0.0000 0.0000 0.5000 [3 per cell]
Be 0.0000 0.0000 0.2442 [6 per cell]

Values from the calculation:
The total magnetization is 0.00 μB/atom. The value obtained for the density of states at the Fermi level is 1.26 states/eV per atom.

---

Which structure loses on stability? arrangement x does.

---

Arrangement w

## SrLa3Be (PBE)

Data for a relaxed structure of SrLa3Be.

Cell lengths 5.7369, 5.7369, 5.7369 Å; angles 90.00, 90.00, 90.00 degrees
Space group Pm-3m (No. 221)
One atom of each set of equivalent atoms:
Sr 0.0000 0.0000 0.0000 [1 per cell]
La 0.0000 0.5000 0.5000 [3 per cell]
Be 0.5000 0.5000 0.5000 [1 per cell]

Values from the calculation:
The total magnetization is 0.00 μB/atom. The value obtained for the density of states at the Fermi level is 1.97 states/eV per atom.

---

Arrangement x

## SrLa3Be (PBE)

Data for a relaxed structure of SrLa3Be.

Cell lengths 5.8600, 5.8600, 5.8600 Å; angles 90.00, 90.00, 90.00 degrees
Space group Pm-3m (No. 221)
One atom of each set of equivalent atoms:
Sr 0.0000 0.0000 0.0000 [1 per cell]
La 0.0000 0.0000 0.5000 [3 per cell]
Be 0.5000 0.5000 0.5000 [1 per cell]

Values from the calculation:
The total magnetization is 0.00 μB/atom. The value obtained for the density of states at the Fermi level is 1.93 states/eV per atom.

---

Which structure loses on stability? arrangement x does.

---

Arrangement w

## LaTa3Be (PBE)

Data for a relaxed structure of LaTa3Be.

Cell lengths 4.8776, 4.8776, 4.8776 Å; angles 90.00, 90.00, 90.00 degrees
Space group Pm-3m (No. 221)
One atom of each set of equivalent atoms:
La 0.0000 0.0000 0.0000 [1 per cell]
Ta 0.0000 0.0000 0.5000 [3 per cell]
Be 0.5000 0.5000 0.5000 [1 per cell]

Values from the calculation:
The total magnetization is 0.00 μB/atom. The value obtained for the density of states at the Fermi level is 0.86 states/eV per atom.

---

Arrangement x

## LaTa3Be (PBE)

Data for a relaxed structure of LaTa3Be.

Cell lengths 4.6521, 4.6521, 4.6521 Å; angles 90.00, 90.00, 90.00 degrees
Space group Pm-3m (No. 221)
One atom of each set of equivalent atoms:
La 0.0000 0.0000 0.0000 [1 per cell]
Ta 0.0000 0.5000 0.5000 [3 per cell]
Be 0.5000 0.5000 0.5000 [1 per cell]

Values from the calculation:
The total magnetization is 0.00 μB/atom. The value obtained for the density of states at the Fermi level is 1.69 states/eV per atom.

---

Which structure loses on stability? arrangement w does.

---

Arrangement w

## LaTaBe (PBE)

Data for a relaxed structure of LaTaBe.

Cell lengths 4.7094, 4.7094, 3.2167 Å; angles 90.00, 90.00, 120.00 degrees
Space group P-6m2 (No. 187)
One atom of each set of equivalent atoms:
La 0.0000 0.0000 0.0000 [1 per cell]
Ta 0.6667 0.3333 0.5000 [1 per cell]
Be 0.3333 0.6667 0.5000 [1 per cell]

Values from the calculation:
The total magnetization is 0.00 μB/atom. The value obtained for the density of states at the Fermi level is 0.54 states/eV per atom.

---

Arrangement x

## LaTaBe (PBE)

Data for a relaxed structure of LaTaBe.

Cell lengths 2.9726, 2.9726, 13.2797 Å; angles 90.00, 90.00, 90.00 degrees
Space group I4mm (No. 107)
One atom of each set of equivalent atoms:
La 0.0000 0.0000 0.0000 [2 per cell]
Ta 0.0000 0.0000 0.2873 [2 per cell]
Be 0.0000 0.0000 0.6743 [2 per cell]

Values from the calculation:
The total magnetization is 0.00 μB/atom. The value obtained for the density of states at the Fermi level is 1.02 states/eV per atom.

---

Which structure loses on stability? arrangement w does.

---

Arrangement w

## LaBeTe (PBE)

Data for a relaxed structure of LaBeTe.

Cell lengths 4.2409, 4.2409, 4.5267 Å; angles 90.00, 90.00, 120.00 degrees
Space group P3m1 (No. 156)
One atom of each set of equivalent atoms:
La 0.0000 0.0000 0.0000 [1 per cell]
Be 0.3333 0.6667 0.5052 [1 per cell]
Te 0.6667 0.3333 0.4990 [1 per cell]

Values from the calculation:
The total magnetization is 0.00 μB/atom. The value obtained for the density of states at the Fermi level is 0.73 states/eV per atom.

---

Arrangement x

## LaBeTe (PBE)

Data for a relaxed structure of LaBeTe.

Cell lengths 7.2233, 7.2233, 7.2233 Å; angles 90.00, 90.00, 90.00 degrees
Space group F-43m (No. 216)
One atom of each set of equivalent atoms:
La 0.0000 0.0000 0.0000 [4 per cell]
Be 0.0000 0.0000 0.5000 [4 per cell]
Te 0.2500 0.2500 0.7500 [4 per cell]

Values from the calculation:
The total magnetization is 0.00 μB/atom. The value obtained for the density of states at the Fermi level is 1.79 states/eV per atom.

---

Arrangement y

## LaBeTe (PBE)

Data for a relaxed structure of LaBeTe.

Cell lengths 7.2669, 7.2669, 7.2669 Å; angles 90.00, 90.00, 90.00 degrees
Space group F-43m (No. 216)
One atom of each set of equivalent atoms:
La 0.0000 0.0000 0.0000 [4 per cell]
Be 0.2500 0.2500 0.7500 [4 per cell]
Te 0.2500 0.2500 0.2500 [4 per cell]

Values from the calculation:
The total magnetization is 0.00 μB/atom. The value obtained for the density of states at the Fermi level is 1.31 states/eV per atom.

---

Which structure loses on stability? arrangement x does.

---

Arrangement w

## LaBeTe (PBE)

Data for a relaxed structure of LaBeTe.

Cell lengths 3.6633, 3.6633, 10.7606 Å; angles 90.00, 90.00, 90.00 degrees
Space group I4mm (No. 107)
One atom of each set of equivalent atoms:
La 0.0000 0.0000 0.0000 [2 per cell]
Be 0.0000 0.0000 0.3005 [2 per cell]
Te 0.0000 0.0000 0.7049 [2 per cell]

Values from the calculation:
The total magnetization is 0.00 μB/atom. The value obtained for the density of states at the Fermi level is 0.74 states/eV per atom.

---

Arrangement x

## LaBeTe (PBE)

Data for a relaxed structure of LaBeTe.

Cell lengths 6.7183, 6.7183, 6.7183 Å; angles 90.00, 90.00, 90.00 degrees
Space group F-43m (No. 216)
One atom of each set of equivalent atoms:
La 0.0000 0.0000 0.0000 [4 per cell]
Be 0.2500 0.2500 0.7500 [4 per cell]
Te 0.0000 0.0000 0.5000 [4 per cell]

Values from the calculation:
The total magnetization is 0.00 μB/atom. The value obtained for the density of states at the Fermi level is 0.61 states/eV per atom.

---

Which structure loses on stability? arrangement x does.

---

Arrangement w

## La2BeTe (PBE)

Data for a relaxed structure of La2BeTe.

Cell lengths 5.4117, 5.4117, 3.7804 Å; angles 90.00, 90.00, 90.00 degrees
Space group P4/mmm (No. 123)
One atom of each set of equivalent atoms:
La 0.0000 0.5000 0.0000 [2 per cell]
Be 0.0000 0.0000 0.5000 [1 per cell]
Te 0.5000 0.5000 0.5000 [1 per cell]

Values from the calculation:
The total magnetization is 0.00 μB/atom. The value obtained for the density of states at the Fermi level is 1.01 states/eV per atom.

---

Arrangement x

## La2BeTe (PBE)

Data for a relaxed structure of La2BeTe.

Cell lengths 11.4895, 4.1611, 4.8256 Å; angles 90.00, 98.36, 90.00 degrees
Space group Cm (No. 8)
One atom of each set of equivalent atoms:
La 0.0000 0.0000 0.0000 [2 per cell]
La 0.2343 0.5000 0.5617 [2 per cell]
Be 0.2633 0.0000 0.0863 [2 per cell]
Te 0.4492 0.0000 0.4752 [2 per cell]

Values from the calculation:
The total magnetization is 0.00 μB/atom. The value obtained for the density of states at the Fermi level is 0.60 states/eV per atom.

---

Which structure loses on stability? arrangement w does.

---

Arrangement w

## La2BeTe (PBE)

Data for a relaxed structure of La2BeTe.

Cell lengths 4.4994, 4.4994, 10.8048 Å; angles 90.00, 90.00, 90.00 degrees
Space group I-4m2 (No. 119)
One atom of each set of equivalent atoms:
La 0.0000 0.0000 0.0000 [2 per cell]
La 0.0000 0.5000 0.2500 [2 per cell]
Be 0.0000 0.0000 0.5000 [2 per cell]
Te 0.0000 0.5000 0.7500 [2 per cell]

Values from the calculation:
The total magnetization is 0.00 μB/atom. The value obtained for the density of states at the Fermi level is 1.11 states/eV per atom.

---

Arrangement x

## La2BeTe (PBE)

Data for a relaxed structure of La2BeTe.

Cell lengths 8.0579, 8.0579, 7.4424 Å; angles 90.00, 90.00, 90.00 degrees
Space group I-42d (No. 122)
One atom of each set of equivalent atoms:
La 0.2139 0.7500 0.1250 [8 per cell]
Be 0.0000 0.0000 0.0000 [4 per cell]
Te 0.0000 0.0000 0.5000 [4 per cell]

Values from the calculation:
The total magnetization is 0.00 μB/atom. The value obtained for the density of states at the Fermi level is 1.42 states/eV per atom.

---

Which structure loses on stability? arrangement x does.

---

Arrangement w

## La2BeTe (PBE)

Data for a relaxed structure of La2BeTe.

Cell lengths 4.4736, 4.4736, 6.3286 Å; angles 90.00, 90.00, 90.00 degrees
Space group P4mm (No. 99)
One atom of each set of equivalent atoms:
La 0.0000 0.0000 0.0000 [1 per cell]
La 0.5000 0.5000 0.5004 [1 per cell]
Be 0.0000 0.0000 0.4993 [1 per cell]
Te 0.5000 0.5000 0.0004 [1 per cell]

Values from the calculation:
The total magnetization is 0.00 μB/atom. The value obtained for the density of states at the Fermi level is 1.05 states/eV per atom.

---

Arrangement x

## La2BeTe (PBE)

Data for a relaxed structure of La2BeTe.

Cell lengths 4.3242, 4.3242, 23.1709 Å; angles 90.00, 90.00, 120.00 degrees
Space group R-3m (No. 166, hexagonal axes)
One atom of each set of equivalent atoms:
La 0.0000 0.0000 0.2445 [6 per cell]
Be 0.0000 0.0000 0.5000 [3 per cell]
Te 0.0000 0.0000 0.0000 [3 per cell]

Values from the calculation:
The total magnetization is 0.00 μB/atom. The value obtained for the density of states at the Fermi level is 1.16 states/eV per atom.

---

Which structure loses on stability? arrangement w does.

---

Arrangement w

## La2BeTe (PBE)

Data for a relaxed structure of La2BeTe.

Cell lengths 7.5006, 7.5006, 7.5006 Å; angles 90.00, 90.00, 90.00 degrees
Space group F-43m (No. 216)
One atom of each set of equivalent atoms:
La 0.0000 0.0000 0.0000 [4 per cell]
La 0.2500 0.2500 0.2500 [4 per cell]
Be 0.0000 0.0000 0.5000 [4 per cell]
Te 0.2500 0.2500 0.7500 [4 per cell]

Values from the calculation:
The total magnetization is 0.00 μB/atom. The value obtained for the density of states at the Fermi level is 1.36 states/eV per atom.

---

Arrangement x

## La2BeTe (PBE)

Data for a relaxed structure of La2BeTe.

Cell lengths 6.9474, 8.2479, 3.8245 Å; angles 90.00, 90.00, 90.00 degrees
Space group Cmmm (No. 65)
One atom of each set of equivalent atoms:
La 0.2500 0.2500 0.0000 [4 per cell]
Be 0.0000 0.0000 0.5000 [2 per cell]
Te 0.0000 0.5000 0.5000 [2 per cell]

Values from the calculation:
The total magnetization is 0.00 μB/atom. The value obtained for the density of states at the Fermi level is 1.03 states/eV per atom.

---

Which structure loses on stability? arrangement w does.